Record 1
Computed, not measured: a relaxed Rb2TeO3 crystal at the PBE level of DFT.

POSCAR file:
```
Rb2TeO3
1.0
5.902 -3.296 0.000
5.902 3.296 0.000
-0.792 0.000 7.639
Rb Te O
4 2 6
Direct
0.000 0.000 0.000
0.000 0.000 0.500
0.318 0.318 0.859
0.682 0.682 0.141
0.339 0.339 0.339
0.661 0.661 0.661
0.164 0.608 0.209
0.181 0.181 0.277
0.392 0.836 0.791
0.608 0.164 0.209
0.819 0.819 0.723
0.836 0.392 0.791
```

Computed properties:
SG	No. 12
formation energy from raw total energies	-1.485	eV/atom


Record 2
Computed, not measured: a relaxed Rb2TeO4 crystal at the PBE level of DFT.

POSCAR file:
```
Rb2TeO4
1.0
6.666 0.000 0.000
0.000 7.005 0.000
-2.695 0.000 7.370
Rb Te O
4 2 8
Direct
0.154 0.250 0.007
0.304 0.250 0.568
0.696 0.750 0.432
0.846 0.750 0.993
0.266 0.750 0.798
0.734 0.250 0.202
0.087 0.540 0.741
0.087 0.960 0.741
0.412 0.750 0.046
0.456 0.750 0.674
0.544 0.250 0.326
0.588 0.250 0.954
0.913 0.040 0.259
0.913 0.460 0.259
```

Computed properties:
SG	No. 11
E above lowest polymorph	0.002	eV per atom
formation energy from raw total energies	-1.369	eV/atom